Density functional theory data (PBE with a Hubbard U) for a relaxed KMoP2O6 crystal.

Lattice parameters (Å, degrees): 7.1375 7.1375 7.1375 44.02 44.02 44.02
Fractional coordinates of all 10 atoms:
K 0.0000 0.0000 0.0000
Mo 0.5000 0.5000 0.5000
P 0.2511 0.2511 0.2511
P 0.7489 0.7489 0.7489
O 0.0707 0.7161 0.5168
O 0.2839 0.4832 0.9293
O 0.4832 0.9293 0.2839
O 0.5168 0.0707 0.7161
O 0.7161 0.5168 0.0707
O 0.9293 0.2839 0.4832

Calculated values
V   15.951 Å³/atom
Mass density   3.05 g/cm³
E_tot   -6.656 eV/atom